Record 1
Here is a geometry-optimized DyY2Al3NiAu2 structure from OQMD via LeMat-Bulk. Energies are from PBE.

The crystal system is orthorhombic. As for the calculated volume: 365.5 Å³/cell.

The space group is Amm2 (No. 38) and the conventional cell measures 4.0957, 12.4191 and 7.1855 Å, with angles of 90.00, 90.00 and 90.00 degrees. The distinct sites, in fractional coordinates, are Dy at (0.0000, 0.0000, 0.0000), Y at (0.0000, 0.2002, 0.5999), Al at (0.5000, 0.0000, 0.6239), Al at (0.5000, 0.1125, 0.2876), Ni at (0.0000, 0.0000, 0.3980) and Au at (0.5000, 0.1657, 0.9001).

Record 2
Here is a geometry-optimized Nd3TeSe2 structure from OQMD via LeMat-Bulk. Energies are from PBE.

The crystal system is trigonal. As for the calculated volume: 170.4 Å³/cell.

The space group is P-3m1 (No. 164) and the conventional cell measures 4.3114, 4.3114 and 10.5864 Å, with angles of 90.00, 90.00 and 120.00 degrees. The distinct sites, in fractional coordinates, are Nd at (0.0000, 0.0000, 0.0000), Nd at (0.3333, 0.6667, 0.3120), Te at (0.0000, 0.0000, 0.5000) and Se at (0.3333, 0.6667, 0.8419).

Record 3
Here is a geometry-optimized NdNpSn structure from OQMD via LeMat-Bulk. Energies are from PBE.

The crystal system is cubic. As for the calculated volume: 398.9 Å³/cell.

The space group is F-43m (No. 216) and the conventional cell measures 7.3613, 7.3613 and 7.3613 Å, with angles of 90.00, 90.00 and 90.00 degrees. The distinct sites, in fractional coordinates, are Nd at (0.0000, 0.0000, 0.0000), Np at (0.2500, 0.2500, 0.2500) and Sn at (0.2500, 0.2500, 0.7500).

Record 4
Here is a geometry-optimized PrTm2In3AgPd2 structure from OQMD via LeMat-Bulk. Energies are from PBE.

The crystal system is orthorhombic. As for the calculated volume: 407.0 Å³/cell.

The space group is Amm2 (No. 38) and the conventional cell measures 3.8142, 13.6556 and 7.8137 Å, with angles of 90.00, 90.00 and 90.00 degrees. The distinct sites, in fractional coordinates, are Pr at (0.0000, 0.0000, 0.0000), Tm at (0.0000, 0.2047, 0.6139), In at (0.5000, 0.0000, 0.6738), In at (0.5000, 0.1359, 0.2784), Ag at (0.0000, 0.0000, 0.4118) and Pd at (0.5000, 0.1718, 0.9078).

Number 1: E -5.30 eV/atom. Number 2: E -5.76 eV/atom. Number 3: E -6.66 eV/atom. Number 4: E -4.57 eV/atom.